Material: V3Ga2Tc2
Method: DFT, GGA-PBE
State: relaxed

a b c (Å): 4.3147 4.3147 18.3497
angles (deg): 90.00 90.00 120.00
Space group R-3m (No. 166, hexagonal axes)
One atom of each set of equivalent atoms:
V (0.0000, 0.0000, 0.0000) (multiplicity 3)
V (0.0000, 0.0000, 0.1499) (multiplicity 6)
Ga (0.0000, 0.0000, 0.4265) (multiplicity 6)
Tc (0.0000, 0.0000, 0.2828) (multiplicity 6)

## Properties
Fermi-level density of states   0.90 states/eV per atom
Calculated formation energy   -245.3 meV per atom
Mass density   8.2 g/cm3

***

Material: V2GaTc
Method: DFT, GGA-PBE
State: relaxed

a b c (Å): 3.160 3.160 5.599
angles (deg): 90.00 90.00 90.00
Space group P4/mmm (No. 123)
One atom of each set of equivalent atoms:
V (0.000, 0.000, 0.244) (multiplicity 2)
Ga (0.500, 0.500, 0.500) (multiplicity 1)
Tc (0.500, 0.500, 0.000) (multiplicity 1)

## Properties
Fermi-level density of states   0.95 states/eV per atom
Calculated formation energy   -214.3 meV per atom
Mass density   8.0 g/cm3

***

Material: VGaTc
Method: DFT, GGA-PBE
State: relaxed

a b c (Å): 4.3585 4.3585 5.2532
angles (deg): 90.00 90.00 120.00
Space group P6_3/mmc (No. 194)
One atom of each set of equivalent atoms:
V (0.3333, 0.6667, 0.2500) (multiplicity 2)
Ga (0.0000, 0.0000, 0.0000) (multiplicity 2)
Tc (0.3333, 0.6667, 0.7500) (multiplicity 2)

## Properties
Fermi-level density of states   1.02 states/eV per atom
Calculated formation energy   -34.6 meV per atom
Mass density   8.4 g/cm3
ΔE to the lowest computed polymorph   280 meV per atom